## TiMnOF2 (GGA+U)

Data for TiMnOF2 after structural relaxation.

Values from the calculation:
As for the crystal system: tetragonal. For the spin magnetization, the calculation gives 0.62 Bohr magnetons per cell. Its total energy is -5.6329 eV per atom. Its polymorph energy (0 for the lowest one) is 1265 meV per atom.

a = 3.8962 Å, b = 3.8962 Å, c = 3.8180 Å
α = 90.00°, β = 90.00°, γ = 90.00°
Site moments in Bohr magnetons follow the coordinates.
Fractional coordinates of all 5 atoms:
F 0.0000 0.5000 0.0000  0.01
F 0.5000 0.0000 0.0000  0.01
Mn 0.0000 0.0000 0.0000  -0.08
O 0.0000 0.0000 0.5000  -0.01
Ti 0.5000 0.5000 0.5000  -0.49